Record 1
# KAlAs2

A geometry-optimized KAlAs2 structure (PBE, Alexandria).

Structure (extended XYZ):
```
4
Lattice="-5.3914 -6.9304 -0.4964 -2.6155 -8.2944 1.3058 -5.1453 -6.4509 3.0425" Properties=species:S:1:pos:R:3 pbc="T T T"
Al -9.8642 -16.2568 2.8889
K -3.2881 -5.4189 0.9630
As -0.2574 -0.4242 0.0754
As -6.3187 -10.4136 1.8505
```

Properties
**E_form**: -152.4 meV per atom

Record 2
# K2AlAs2

A geometry-optimized K2AlAs2 structure (PBE, Alexandria).

Structure (extended XYZ):
```
10
Lattice="-5.0453 4.7023 1.1879 0.2046 -1.5063 6.8313 3.8094 3.8989 0.7456" Properties=species:S:1:pos:R:3 pbc="T T T"
K 1.1861 1.7383 5.1484
As -0.6175 0.0981 2.6419
As -1.6544 0.4067 6.3258
Al 0.0000 0.0000 0.0000
Al -2.4204 1.5980 4.0096
K -2.2174 5.3566 3.6165
As -3.1863 2.7894 1.6934
K 0.2723 3.2477 1.9238
As -4.2232 3.0980 5.3773
K -1.3037 3.8472 6.8411
```

Properties
**E_form**: -240.0 meV per atom
**ΔE to the lowest computed polymorph**: 223 meV per atom

Record 3
# KAl2As

A geometry-optimized KAl2As structure (PBE, Alexandria).

Structure (extended XYZ):
```
4
Lattice="-2.5019 -4.7700 1.6007 5.0757 -2.3591 0.4963 -2.5705 4.2040 2.7006" Properties=species:S:1:pos:R:3 pbc="T T T"
Al -1.9297 -1.9628 2.6448
As 1.4994 -4.1532 1.2217
K 1.9077 -0.8922 2.1323
Al 2.3866 -6.6106 1.9445
```

Properties
**E_form**: 134.5 meV per atom

Record 4
# KAlAs4

A geometry-optimized KAlAs4 structure (PBE, Alexandria).

Structure (extended XYZ):
```
6
Lattice="-4.6829 -2.1922 2.6928 -5.3272 1.9121 -1.3970 -3.6741 -3.4713 -2.9048" Properties=species:S:1:pos:R:3 pbc="T T T"
As -7.8602 -0.3535 -1.3358
K -10.2632 -2.8135 -1.2067
As -6.9773 -3.2289 -2.1411
Al 0.0000 0.0000 0.0000
As -5.0149 -1.3748 -0.5896
As -7.5161 -2.5457 0.8486
```

Properties
**E_form**: 126.2 meV per atom

Record 5
# KAlAs2

A geometry-optimized KAlAs2 structure (PBE, Alexandria).

Structure (extended XYZ):
```
4
Lattice="-0.1456 0.4167 4.1399 3.3913 -3.0847 0.4297 3.1104 3.3872 -0.2315" Properties=species:S:1:pos:R:3 pbc="T T T"
Al 1.4824 1.9019 1.9542
As 0.0000 0.0000 0.0000
As 3.2508 0.1512 0.0991
K 1.6228 -1.3340 2.2848
```

Properties
**E_form**: 182.1 meV per atom

Record 6
# KAlMo2As

A geometry-optimized KAlMo2As structure (PBE, Alexandria).

Structure (extended XYZ):
```
5
Lattice="4.9726 0.0000 0.0000 0.0000 5.0484 0.0000 0.0000 0.0000 4.9726" Properties=species:S:1:pos:R:3 pbc="T T T"
Mo 0.0000 0.0000 2.4863
As 0.0000 2.5242 0.0000
Mo 2.4863 0.0000 0.0000
Al 0.0000 0.0000 0.0000
K 2.4863 2.5242 2.4863
```

Properties
**E_form**: 1377.9 meV per atom

Record 7
# K2NaAlAs2

A geometry-optimized K2NaAlAs2 structure (PBE, Alexandria).

Structure (extended XYZ):
```
12
Lattice="8.8996 -0.0063 -0.0013 3.9101 7.9947 0.0013 -6.3004 -4.1617 4.7105" Properties=species:S:1:pos:R:3 pbc="T T T"
Na 5.8073 4.9524 1.1779
Na 0.7020 -1.1257 3.5325
As 5.9764 1.9944 1.4095
As 3.2840 -2.5791 3.7641
As 0.5330 1.8323 3.3010
K -2.7630 -0.5588 3.5742
K 2.9127 0.3188 1.2183
K 3.5967 3.5079 3.4922
Al -1.7927 2.8747 3.5338
As 3.2254 6.4058 0.9464
K 9.2723 4.3855 1.1363
Al -0.5976 0.9582 1.1779
```

Properties
**E_form**: -577.3 meV per atom

Record 8
# KAlAs2O7

A geometry-optimized KAlAs2O7 structure (PBE, Alexandria).

Structure (extended XYZ):
```
22
Lattice="6.3028 0.0145 0.0043 -1.3928 6.2395 -0.0038 -2.0961 -1.4741 7.9156" Properties=species:S:1:pos:R:3 pbc="T T T"
O -0.9453 3.8761 2.1961
O 0.7646 5.8538 1.7479
O 1.4281 0.7675 4.2237
O 2.0493 -1.0739 6.1682
O 4.4232 2.1833 0.0789
O -0.8640 3.0172 5.1859
O 1.3858 4.0124 3.6924
O 1.7872 2.7226 6.1747
As 0.7799 3.7489 5.2547
As 2.0341 1.0310 2.6614
Al 1.8878 0.8149 6.1172
As -1.2534 1.7422 6.4259
As 4.0673 3.0377 1.4902
O -1.6092 2.5965 7.8372
K -1.0480 -0.7370 3.9578
K 0.0000 0.0000 0.0000
O 3.6779 1.7626 2.7302
O 2.8002 4.1749 1.4603
O 0.0138 0.6050 6.4558
O 3.7593 0.9037 5.7200
Al 0.9261 3.9649 1.7989
O 1.0268 2.0573 1.7413
```

Properties
**Raw formation energy**: -1.78 eV per atom

Record 9
# K2AlAs2O6

A geometry-optimized K2AlAs2O6 structure (PBE, Alexandria).

Structure (extended XYZ):
```
11
Lattice="-0.4814 -0.1030 5.5774 4.0910 -2.2048 3.1228 4.1726 5.2612 3.2678" Properties=species:S:1:pos:R:3 pbc="T T T"
O 6.3418 2.7704 6.2194
O 4.0349 3.8309 7.4578
O 3.7474 -0.8775 4.5102
Al 0.0000 0.0000 0.0000
K 1.8626 0.5699 2.9817
As 3.1896 0.0521 5.8972
O 3.5045 -0.9295 7.3241
As 4.5926 2.9013 6.0709
K 5.9196 2.3835 8.9863
O 4.2778 3.8828 4.6439
O 1.4404 0.1829 5.7486
```

Properties
**Raw formation energy**: -1.66 eV per atom

Record 10
# K3Al2As3O12

A geometry-optimized K3Al2As3O12 structure (PBE, Alexandria).

Structure (extended XYZ):
```
80
Lattice="-1.6211 2.7874 -8.2175 -0.7158 -8.6163 -2.7815 -17.3373 0.3030 3.5229" Properties=species:S:1:pos:R:3 pbc="T T T"
O -18.8841 -3.4931 -5.9921
Al -12.9871 -3.6252 -4.7887
O -5.6043 -3.9819 -1.5202
O -10.9077 -5.9599 -6.1110
K -9.1835 -5.2628 -1.1488
K -10.0820 -0.9658 -4.2554
O -11.8918 -4.2032 0.6233
As -12.4337 -5.8224 0.3686
K -16.5419 -3.0105 -0.9793
O -2.8218 -2.2991 -0.5491
O -10.5585 -1.8414 -0.4033
Al -4.0727 0.7378 -5.1470
K -18.7798 -5.1282 -3.9515
O -7.0733 -2.5418 -4.5050
O -4.9337 -0.7566 -4.6887
As -13.4367 -1.3622 -2.5603
O -13.4089 -5.1109 -3.9083
As -15.0450 -5.6485 -3.6970
K -3.2977 -2.9969 -3.2955
Al -6.3483 -2.4833 -0.9696
K -8.3388 2.3851 -5.5087
O -15.4187 -6.4723 -5.1703
K -7.3786 -7.2400 -3.9298
O -1.9394 -7.2203 -3.1942
O -12.2536 -0.1826 -2.7120
O -1.2757 -1.1977 -3.9457
O -11.5798 -6.6360 -0.8154
O -12.7490 -1.4828 1.3481
Al -3.6470 -6.8449 -2.9820
O -2.6323 0.2204 -6.0089
K -16.5675 -2.2004 -5.1490
As -4.6419 -5.3792 -5.7595
As -17.9635 -5.8091 0.7644
As -14.2590 -1.4761 2.2030
O -17.3098 0.9637 -2.1274
O -16.1532 -4.4288 -3.3830
O -4.3856 -5.6631 -4.0727
As -5.4295 -5.5528 -0.8200
O -1.1805 -4.5197 -2.8000
O -14.1569 -5.7726 0.1707
As -1.1767 -0.6350 -5.5334
Al -15.6883 0.7365 -2.7763
O -15.0065 -0.7685 -2.1202
O -8.4687 -0.0779 0.1444
As -9.0161 -1.6511 0.4097
K -12.4866 2.0427 -4.5148
O -10.7273 0.6787 -6.1861
K -3.4230 -2.0152 -7.9710
O -16.8678 -6.0455 -0.5847
O -18.1959 -1.5181 -3.1666
O -9.4325 -5.3695 -3.7517
K -11.6262 -7.4108 -3.4416
K -0.4856 -1.1004 -1.4527
O -5.0225 1.7569 -6.2386
O -8.9416 -3.9837 -6.1903
O -3.8809 0.3024 -0.4069
Al -12.1000 -2.5408 0.0658
O -7.5740 0.2154 -4.0229
O -13.8405 -3.8264 -6.3258
O -15.5095 0.5172 -4.5232
Al -7.2626 -3.5208 -5.9623
O -15.5340 -2.2525 1.4516
O -13.6953 -2.1881 -4.0570
O -11.2343 -3.4569 -4.8254
O -5.4815 -1.7625 0.4050
O -3.8840 -6.1048 -1.3831
O -4.3612 -6.9036 -6.5196
As -6.4673 -1.0329 -3.9251
As -3.8212 -1.2666 0.3166
O -6.7215 -6.5454 -1.2202
O -13.1377 -2.5797 -1.3674
O -6.7803 -2.5268 -7.3449
O -6.0546 -1.3196 -2.2701
Al -15.2899 -6.7994 -0.7495
O -14.8955 -6.8634 -2.4737
O -8.0149 -2.7997 -0.4962
O -6.3417 -5.0464 -5.8661
O -14.6039 0.1586 2.6379
O -3.6198 -4.1681 -6.2899
As -10.1241 -4.7930 -5.1788
```

Properties
**Raw formation energy**: -1.93 eV per atom

Record 11
# KAl2As2O7

A geometry-optimized KAl2As2O7 structure (PBE, Alexandria).

Structure (extended XYZ):
```
12
Lattice="-1.1433 2.6244 4.6196 -4.7938 2.4900 0.5957 -5.2232 -5.3010 4.9156" Properties=species:S:1:pos:R:3 pbc="T T T"
O -2.8459 0.3063 4.1082
As -8.5523 -0.5329 7.7764
Al -6.6021 3.6785 5.8665
O -4.2129 -0.1204 1.7712
O -1.6904 -1.1440 2.0899
Al -4.5583 -3.8650 4.2644
O -8.9912 -0.1413 6.1068
K -5.5802 -0.0932 5.0655
As -2.6081 0.3464 2.3545
O -6.7860 -0.4366 7.7075
O -8.9546 0.9765 8.6091
O 0.0000 0.0000 0.0000
```

Properties
**Raw formation energy**: -2.01 eV per atom

Record 12
# KAlAsO4

A geometry-optimized KAlAsO4 structure (PBE, Alexandria).

Structure (extended XYZ):
```
7
Lattice="5.8517 0.0000 0.0000 2.9259 5.0677 0.0000 2.9259 1.6892 4.7779" Properties=species:S:1:pos:R:3 pbc="T T T"
O 5.8517 5.0421 1.8008
K 8.7776 5.0677 3.5834
O 7.2924 2.5467 1.8008
O 5.8517 3.3785 4.1534
As 2.9259 1.6892 1.1945
O 4.4110 2.5467 1.8008
Al 5.8517 3.3785 2.3890
```

Properties
**Raw formation energy**: -1.78 eV per atom

Record 13
# K2Al2As2P

A geometry-optimized K2Al2As2P structure (PBE, Alexandria).

Structure (extended XYZ):
```
7
Lattice="-2.8198 0.4570 -2.4824 -5.5571 -4.9453 2.5193 -5.4648 1.0942 6.4088" Properties=species:S:1:pos:R:3 pbc="T T T"
P 0.0000 0.0000 0.0000
Al -5.7650 -2.7073 3.1663
K -3.1654 -0.2882 0.6587
Al -8.0768 -0.6868 3.2794
As -7.3783 -2.2914 5.0751
As -6.4634 -1.1027 1.3706
K -10.6763 -3.1059 5.7870
```

Properties
**E_form**: -448.7 meV per atom

Record 14
# KAlAsPb2

A geometry-optimized KAlAsPb2 structure (PBE, Alexandria).

Structure (extended XYZ):
```
5
Lattice="5.4039 0.0000 0.0000 0.0000 5.8962 0.0000 0.0000 0.0000 5.4039" Properties=species:S:1:pos:R:3 pbc="T T T"
Pb 0.0000 0.0000 2.7020
As 2.7020 2.9481 2.7020
Al 0.0000 0.0000 0.0000
K 0.0000 2.9481 0.0000
Pb 2.7020 0.0000 0.0000
```

Properties
**E_form**: 546.7 meV per atom

Record 15
# KRbAl2As

A geometry-optimized KRbAl2As structure (PBE, Alexandria).

Structure (extended XYZ):
```
5
Lattice="5.2764 0.0000 0.0000 0.0000 6.1821 0.0000 0.0000 0.0000 5.2764" Properties=species:S:1:pos:R:3 pbc="T T T"
K 0.0000 3.0911 0.0000
As 0.0000 0.0000 0.0000
Rb 2.6382 3.0911 2.6382
Al 2.6382 0.0000 0.0000
Al 0.0000 0.0000 2.6382
```

Properties
**E_form**: 274.8 meV per atom

Record 16
# K2RbAlAs2

A geometry-optimized K2RbAlAs2 structure (PBE, Alexandria).

Structure (extended XYZ):
```
12
Lattice="8.3971 0.0000 0.0000 0.0000 6.7851 0.0000 -4.1986 -3.3925 7.0870" Properties=species:S:1:pos:R:3 pbc="T T T"
Rb 0.0000 1.6963 0.0000
As -1.4452 3.3925 5.8091
Al 4.1986 1.6963 0.0000
Al 4.1986 5.0888 0.0000
As 1.4452 0.0000 5.8091
K 5.7189 3.3925 2.6222
Rb 0.0000 5.0888 0.0000
As 5.6438 0.0000 1.2779
K 2.6782 0.0000 2.6222
K 1.5203 3.3925 4.4648
K -1.5203 0.0000 4.4648
As 2.7533 3.3925 1.2779
```

Properties
**E_form**: -499.6 meV per atom

Record 17
# KAlAsRh2

A geometry-optimized KAlAsRh2 structure (PBE, Alexandria).

Structure (extended XYZ):
```
5
Lattice="-1.3237 -4.2032 1.6497 4.7055 -1.2772 0.5216 -0.0174 1.7239 4.3782" Properties=species:S:1:pos:R:3 pbc="T T T"
Al 0.0000 0.0000 0.0000
Rh -0.6619 -2.1016 0.8249
K 1.6822 -1.8783 3.2747
Rh -0.0087 0.8619 2.1891
As 2.3527 -0.6386 0.2608
```

Properties
**E_form**: 399.7 meV per atom

Record 18
# KAl2AsS6

A geometry-optimized KAl2AsS6 structure (PBE, Alexandria).

Structure (extended XYZ):
```
20
Lattice="-3.7632 -0.9060 6.1911 -4.0392 -8.6522 -0.1778 6.0240 -3.0340 6.7611" Properties=species:S:1:pos:R:3 pbc="T T T"
S -2.2929 -7.9635 5.3716
S -5.2410 -7.0299 4.3640
S -2.5009 -3.7427 8.0200
S -5.3088 -9.8619 6.7553
S -1.0002 -6.0720 1.9653
S -1.6709 -3.8768 4.1994
K -4.2580 -8.4756 1.8678
As -4.3402 -7.9241 6.2041
Al -0.6805 -3.8284 2.1368
Al -1.0575 -3.4414 6.2698
S -0.1074 -8.7154 8.5751
S 3.5305 -2.7303 6.0192
As 2.5619 -4.6681 6.5704
S 0.5146 -4.6288 7.4029
Al -0.7208 -9.1508 6.5046
K 2.4797 -4.1166 10.9066
Al -1.0978 -8.7638 10.6377
S 0.7226 -8.8495 4.7544
S 3.4627 -5.5623 8.4105
S -0.7781 -6.5203 10.8091
```

Properties
**Raw formation energy**: -0.64 eV per atom

Record 19
# K2Al2As2S

A geometry-optimized K2Al2As2S structure (PBE, Alexandria).

Structure (extended XYZ):
```
7
Lattice="-1.3623 3.7163 0.8457 -7.5609 -0.3522 -0.9458 -5.4901 -3.1614 5.0477" Properties=species:S:1:pos:R:3 pbc="T T T"
Al -7.7187 0.7214 3.7668
K -2.7288 0.9136 1.2757
As -6.0432 1.7035 2.1504
S 0.0000 0.0000 0.0000
K -11.6845 -0.7109 3.6719
Al -6.6946 -0.5187 1.1808
As -8.3701 -1.5008 2.7973
```

Properties
**Raw formation energy**: -0.79 eV per atom

Record 20
# K2AlAsS

A geometry-optimized K2AlAsS structure (PBE, Alexandria).

Structure (extended XYZ):
```
5
Lattice="-5.1609 3.7349 -1.8492 -2.6935 -3.6045 0.2371 -1.2827 1.3770 6.3610" Properties=species:S:1:pos:R:3 pbc="T T T"
As -4.5686 0.7537 2.3745
Al 0.0000 0.0000 0.0000
K -0.6414 0.6885 3.1805
K -2.5805 1.8674 -0.9246
S -1.3467 -1.8022 0.1185
```

Properties
**Raw formation energy**: 0.17 eV per atom